Entry 1:
Tl2In2HgTe2 PBE-GGA relaxed; ΔE_f (raw) = -0.154 eV/atom; DOS at the Fermi energy = 0.183 states/eV/atom; ρ = 7.36 g/cm3; electronic total energy = -2.55 eV/atom
1.0
4.347 0.000 0.000
-0.016 8.070 0.000
-2.124 -3.872 7.038
Tl In Hg Te
2 2 1 2
Direct
0.064 0.363 0.131 Tl
0.936 0.637 0.869 Tl
0.277 0.813 0.560 In
0.723 0.187 0.440 In
0.500 0.000 0.000 Hg
0.371 0.255 0.741 Te
0.629 0.745 0.259 Te



Entry 2:
Tl2InHgTe4 PBE-GGA relaxed; ΔE_f (raw) = -0.201 eV/atom; DOS at the Fermi energy = 0.315 states/eV/atom; ρ = 8.06 g/cm3; electronic total energy = -2.74 eV/atom
1.0
-4.447 4.531 6.316
4.447 -4.531 6.316
4.447 4.531 -6.316
Tl In Hg Te
4 2 2 8
Direct
0.000 0.000 0.000 Tl
0.500 0.000 0.000 Tl
0.500 0.000 0.500 Tl
0.500 0.500 0.500 Tl
0.000 0.000 0.500 In
0.000 0.500 0.000 In
0.000 0.500 0.500 Hg
0.500 0.500 0.000 Hg
0.225 0.744 0.480 Te
0.236 0.256 0.980 Te
0.239 0.251 0.511 Te
0.239 0.728 0.989 Te
0.761 0.272 0.011 Te
0.761 0.749 0.489 Te
0.764 0.744 0.020 Te
0.775 0.256 0.520 Te